No. 1
La2InBr2 (GGA-PBE, optimized geometry); space group = P4/mbm, No. 127; formation energy from raw total energies = -90 kJ/mol of atoms; V = 297.0 Å³ per cell
1.0
8.9074 0.0000 0.0000
0.0000 8.9074 0.0000
0.0000 0.0000 3.7437
In La Br
2 4 4
direct
0.0000 0.0000 0.0000
0.5000 0.5000 0.0000
0.8327 0.6673 0.0000
0.3327 0.8327 0.0000
0.1673 0.3327 0.0000
0.6673 0.1673 0.0000
0.1274 0.6274 0.5000
0.6274 0.8726 0.5000
0.3726 0.1274 0.5000
0.8726 0.3726 0.5000

No. 2
CeY2Sc (GGA-PBE, optimized geometry); space group = R3m, No. 160; V = 118.3 Å³ per cell; relative energy among the computed polymorphs = 0.0 kJ per mole of atoms
1.0
-2.4882 -1.6554 1.8065
-0.7964 -3.3143 -0.7588
6.5869 -5.1846 7.6967
Ce Sc Y
1 1 2
direct
0.6661 0.6661 0.0017
0.5005 0.5005 0.4986
0.0856 0.0856 0.7431
0.2478 0.2478 0.2566

No. 3
Ho7Tl2Te2 (GGA-PBE, optimized geometry); space group = C2/m, No. 12; formation energy from raw total energies = -32 kJ/mol of atoms; V = 337.8 Å³ per cell
1.0
-0.7697 4.8145 -4.9994
-5.4373 -4.3743 -2.0324
-4.5592 1.8255 4.9646
Ho Te Tl
7 2 2
direct
0.4907 0.7324 0.5093
0.5093 0.2676 0.4907
0.0000 0.0000 0.0000
0.0319 0.2741 0.5667
0.9681 0.7259 0.4333
0.5667 0.7259 0.0319
0.4333 0.2741 0.9681
0.2780 0.9490 0.7220
0.7220 0.0510 0.2780
0.8202 0.5000 0.8202
0.1798 0.5000 0.1798

No. 4
U2Ni7Sn2Pt (GGA-PBE, optimized geometry); space group = C2/m, No. 12; electronic total energy = -6.42 eV/atom; V = 195.5 Å³ per cell
1.0
-0.1654 -3.0267 -1.8260
-1.3112 -1.6668 2.8329
-15.0229 1.8500 -4.2348
Pt Ni Sn U
1 7 2 2
direct
0.0000 0.0000 0.0000
0.0441 0.5437 0.8756
0.3202 0.3202 0.4479
0.4563 0.9559 0.1244
0.6798 0.6798 0.5521
0.9559 0.4563 0.1244
0.5000 0.5000 0.0000
0.5437 0.0441 0.8756
0.1511 0.1511 0.6125
0.8489 0.8489 0.3875
0.4039 0.4039 0.2489
0.5961 0.5961 0.7511